A relaxed NbGa3 crystal. Source: Alexandria via LeMat-Bulk, functional GGA-PBE.

The formation energy comes out at -0.316 eV/atom. The calculation puts the density of states at the Fermi level at 0.73 states/eV/f.u. The uncorrected energy is -5.10 eV/atom. As for the space group: I4/mmm, No. 139.

a b c (Å): 5.166 5.166 5.166
angles (deg): 136.51 136.51 63.19
Positions (direct):
Nb1 0.000 0.000 0.000
Ga1 0.500 0.500 0.000
Ga2 0.750 0.250 0.500
Ga3 0.250 0.750 0.500

A relaxed Re3Ag crystal. Source: Alexandria via LeMat-Bulk, functional GGA-PBE.

The formation energy comes out at 0.480 eV/atom. The calculation puts the density of states at the Fermi level at 3.07 states/eV/f.u. The uncorrected energy is -9.57 eV/atom. As for the space group: Pnma, No. 62.

a b c (Å): 4.791 9.212 5.593
angles (deg): 90.00 90.00 90.00
Positions (direct):
Re1 0.907 0.250 0.864
Re2 0.252 0.990 0.367
Re3 0.252 0.510 0.367
Re4 0.248 0.490 0.867
Re5 0.248 0.010 0.867
Re6 0.593 0.750 0.364
Re7 0.407 0.250 0.636
Re8 0.752 0.990 0.133
Re9 0.752 0.510 0.133
Re10 0.748 0.490 0.633
Re11 0.748 0.010 0.633
Re12 0.093 0.750 0.136
Ag1 0.088 0.750 0.633
Ag2 0.412 0.250 0.133
Ag3 0.588 0.750 0.867
Ag4 0.912 0.250 0.367